VASP calculation (PBE with a Hubbard U) on a geometry-optimized CrBrO2 structure.

Cell and atoms, written as POSCAR:
```
CrBrO2
1.0
0.000 2.811 2.811
2.811 0.000 2.811
2.811 2.811 0.000
Cr Br O
1 1 2
Cartesian
0.000 0.000 0.000 Cr
2.811 2.811 2.811 Br
1.406 1.406 1.406 O
4.217 4.217 4.217 O
```

Output
Magnetic moment = 0.0122 μB per atom
Energy above the lowest structure with this stoichiometry = 1948 meV/atom